A plane-wave DFT calculation with GGA-PBE was carried out for a relaxed Ta2V5Re crystal.

POSCAR file:
```
Ta2V5Re
1.0
4.3478 0.0000 0.0000
0.0000 4.3478 0.0000
-2.1739 -2.1739 6.2672
Ta V Re
2 5 1
Direct
0.7478 0.7478 0.4956 Ta
0.2522 0.2522 0.5044 Ta
0.5000 0.5000 0.0000 V
0.8827 0.3827 0.7654 V
0.3827 0.8827 0.7654 V
0.1173 0.6173 0.2346 V
0.6173 0.1173 0.2346 V
0.0000 0.0000 0.0000 Re
```

Computed properties:
- Formation energy: -0.11 eV per atom
- E_tot: -10.328 eV/atom
- Space group: I4/mmm

=====

A plane-wave DFT calculation with GGA-PBE was carried out for a relaxed KSrHfNi2 crystal.

POSCAR file:
```
KSrHfNi2
1.0
4.8931 0.0000 0.0000
0.0000 5.9342 0.0000
0.0000 0.0000 4.8931
Sr K Hf Ni
1 1 1 2
Direct
0.0000 0.5000 0.0000 Sr
0.5000 0.5000 0.5000 K
0.0000 0.0000 0.0000 Hf
0.0000 0.0000 0.5000 Ni
0.5000 0.0000 0.0000 Ni
```

Computed properties:
- Formation energy: 0.87 eV per atom
- E_tot: -3.992 eV/atom
- Space group: P4/mmm

=====

A plane-wave DFT calculation with GGA-PBE was carried out for a relaxed YInIr3 crystal.

POSCAR file:
```
YInIr3
1.0
4.8538 0.0000 0.0000
0.0000 4.8538 0.0000
0.0000 0.0000 4.8538
Y Ir In
1 3 1
Direct
0.5000 0.5000 0.5000 Y
0.0000 0.5000 0.0000 Ir
0.0000 0.0000 0.5000 Ir
0.5000 0.0000 0.0000 Ir
0.0000 0.0000 0.0000 In
```

Computed properties:
- Energy relative to the lowest polymorph listed for this composition: 0.0 meV/atom
- Formation energy: 0.98 eV per atom
- E_tot: -6.173 eV/atom
- Space group: Pm-3m

=====

A plane-wave DFT calculation with GGA-PBE was carried out for a relaxed Rb2Th2CdTe6 crystal.

POSCAR file:
```
Rb2Th2CdTe6
1.0
7.8917 -0.1040 0.0755
-3.9910 6.8090 0.0755
-1.3822 -2.3758 8.7793
Rb Th Cd Te
2 2 1 6
Direct
0.8362 0.1638 0.0000 Rb
0.1638 0.8362 0.0000 Rb
0.3326 0.6674 0.5000 Th
0.6674 0.3326 0.5000 Th
0.0000 0.0000 0.5000 Cd
0.7413 0.7413 0.6924 Te
0.0662 0.4056 0.7016 Te
0.2587 0.2587 0.3076 Te
0.4056 0.0662 0.7016 Te
0.9338 0.5944 0.2984 Te
0.5944 0.9338 0.2984 Te
```

Computed properties:
- E_form (uncorrected): -1.0430 eV per atom
- E_tot: -4.365 eV/atom
- Space group: C2/m

=====

A plane-wave DFT calculation with GGA-PBE was carried out for a relaxed Pm3Tm5S12 crystal.

POSCAR file:
```
Pm3Tm5S12
1.0
13.9432 0.0000 0.0000
-4.6477 13.1458 0.0000
-4.6477 -6.5729 11.3846
S Tm Pm
48 20 12
Direct
0.7193 0.1293 0.0445 S
0.3252 0.5445 0.4152 S
0.9555 0.3707 0.2807 S
0.5445 0.2193 0.1293 S
0.5899 0.7193 0.6748 S
0.9555 0.5848 0.1748 S
0.3252 0.7807 0.4101 S
0.0848 0.9101 0.1293 S
0.5848 0.9555 0.6748 S
0.7193 0.5899 0.1748 S
0.7807 0.4555 0.3707 S
0.8252 0.9152 0.0445 S
0.1293 0.7193 0.5445 S
0.3707 0.4152 0.0899 S
0.0899 0.9152 0.3707 S
0.4101 0.1293 0.5848 S
0.0899 0.1748 0.2193 S
0.4555 0.6748 0.0848 S
0.8252 0.9101 0.2807 S
0.1293 0.4101 0.0848 S
0.3707 0.9555 0.7807 S
0.5848 0.6293 0.4101 S
0.9152 0.8252 0.5445 S
0.7807 0.3252 0.9101 S
0.4152 0.3707 0.5899 S
0.0848 0.1748 0.4555 S
0.2193 0.6748 0.0899 S
0.1748 0.0899 0.7193 S
0.6293 0.0445 0.2193 S
0.8707 0.5899 0.9152 S
0.5445 0.3252 0.9152 S
0.5899 0.8707 0.4152 S
0.9101 0.8252 0.7807 S
0.9101 0.0848 0.6293 S
0.8707 0.2807 0.4555 S
0.1748 0.0848 0.9555 S
0.6293 0.5848 0.9101 S
0.4152 0.0445 0.3252 S
0.2807 0.4101 0.8252 S
0.2193 0.5445 0.6293 S
0.9152 0.0899 0.8707 S
0.6748 0.2193 0.5899 S
0.4555 0.7807 0.8707 S
0.0445 0.4152 0.8252 S
0.4101 0.2807 0.3252 S
0.0445 0.6293 0.7193 S
0.6748 0.4555 0.5848 S
0.2807 0.8707 0.9555 S
0.1250 0.3750 0.2500 Tm
0.0000 0.5000 0.0000 Tm
0.0000 0.0000 0.0000 Tm
0.3750 0.2500 0.1250 Tm
0.5000 0.0000 0.5000 Tm
0.5000 0.5000 0.0000 Tm
0.1250 0.7500 0.3750 Tm
0.7500 0.1250 0.8750 Tm
0.7500 0.6250 0.3750 Tm
0.3750 0.1250 0.7500 Tm
0.6250 0.8750 0.2500 Tm
0.5000 0.5000 0.5000 Tm
0.5000 0.0000 0.0000 Tm
0.0000 0.0000 0.5000 Tm
0.2500 0.3750 0.6250 Tm
0.2500 0.8750 0.1250 Tm
0.0000 0.5000 0.5000 Tm
0.8750 0.2500 0.6250 Tm
0.6250 0.7500 0.8750 Tm
0.8750 0.6250 0.7500 Tm
0.7500 0.3750 0.1250 Pm
0.8750 0.7500 0.1250 Pm
0.3750 0.7500 0.6250 Pm
0.2500 0.1250 0.3750 Pm
0.8750 0.1250 0.2500 Pm
0.3750 0.6250 0.2500 Pm
0.6250 0.3750 0.7500 Pm
0.1250 0.8750 0.7500 Pm
0.7500 0.8750 0.6250 Pm
0.6250 0.2500 0.3750 Pm
0.1250 0.2500 0.8750 Pm
0.2500 0.6250 0.8750 Pm
```

Computed properties:
- E_form (uncorrected): -1.9180 eV per atom
- E_tot: -6.225 eV/atom
- Space group: Ia-3d

=====

A plane-wave DFT calculation with GGA-PBE was carried out for a relaxed Sm3AlIn crystal.

POSCAR file:
```
Sm3AlIn
1.0
-5.0115 -1.1333 -1.0252
2.3957 -5.6247 -5.4930
-1.1215 -2.1458 7.8541
Sm Al In
6 2 2
Direct
0.2500 0.8085 0.1915 Sm
0.7500 0.1915 0.8085 Sm
0.2500 0.8085 0.6171 Sm
0.7500 0.1915 0.3829 Sm
0.2500 0.3829 0.1915 Sm
0.7500 0.6171 0.8085 Sm
0.0000 0.0000 0.0000 Al
0.5000 0.0000 0.0000 Al
0.2500 0.3335 0.6665 In
0.7500 0.6665 0.3335 In
```

Computed properties:
- Energy relative to the lowest polymorph listed for this composition: 152.7 meV/atom
- Formation energy: -0.16 eV per atom
- E_tot: -4.286 eV/atom
- Space group: P6_3/mmc

=====

A plane-wave DFT calculation with GGA-PBE was carried out for a relaxed PmNdHgI crystal.

POSCAR file:
```
PmNdHgI
1.0
5.4848 0.0000 0.0000
2.7424 4.7500 0.0000
2.7424 1.5833 4.4783
I Nd Hg Pm
1 1 1 1
Direct
0.5000 0.5000 0.5000 I
0.2500 0.2500 0.2500 Nd
0.0000 0.0000 0.0000 Hg
0.7500 0.7500 0.7500 Pm
```

Computed properties:
- E_form (uncorrected): -0.5075 eV per atom
- E_tot: -3.350 eV/atom
- Space group: F-43m

=====

A plane-wave DFT calculation with GGA-PBE was carried out for a relaxed Fe2SnPd crystal.

POSCAR file:
```
Fe2SnPd
1.0
6.2970 0.0000 -0.5087
0.0000 4.1491 0.0000
-1.1177 0.0000 9.5455
Sn Pd Fe
4 4 8
Direct
0.7197 0.0000 0.6038 Sn
0.2803 0.0000 0.3962 Sn
0.7197 0.5000 0.1038 Sn
0.2803 0.5000 0.8962 Sn
0.9977 0.0000 0.1422 Pd
0.0023 0.0000 0.8578 Pd
0.9977 0.5000 0.6422 Pd
0.0023 0.5000 0.3578 Pd
0.6170 0.0000 0.9169 Fe
0.3830 0.0000 0.0831 Fe
0.6170 0.5000 0.4169 Fe
0.3830 0.5000 0.5831 Fe
0.6724 0.0000 0.2943 Fe
0.3276 0.0000 0.7057 Fe
0.6724 0.5000 0.7943 Fe
0.3276 0.5000 0.2057 Fe
```

Computed properties:
- Formation energy: 0.02 eV per atom
- E_tot: -6.512 eV/atom
- Space group: C2/m

=====

A plane-wave DFT calculation with GGA-PBE was carried out for a relaxed La2SiGe crystal.

POSCAR file:
```
La2SiGe
1.0
4.0608 0.0000 0.0000
0.0000 6.0927 -0.1651
0.0000 -3.2565 8.6241
La Si Ge
4 2 2
Direct
0.7500 0.2227 0.4283 La
0.2500 0.7773 0.5717 La
0.2500 0.7799 0.0676 La
0.7500 0.2201 0.9324 La
0.2500 0.3535 0.2133 Si
0.7500 0.6465 0.7867 Si
0.7500 0.6469 0.2868 Ge
0.2500 0.3531 0.7132 Ge
```

Computed properties:
- E_form (uncorrected): -0.7819 eV per atom
- E_tot: -5.756 eV/atom
- Space group: P2_1/m

=====

A plane-wave DFT calculation with GGA-PBE was carried out for a relaxed Hf2BeGaAu crystal.

POSCAR file:
```
Hf2BeGaAu
1.0
-2.0928 -4.2838 -1.9518
-0.4208 -1.5758 3.9098
-4.6797 2.1253 0.3529
Hf Au Ga Be
2 1 1 1
Direct
0.0000 0.0000 0.5000 Hf
0.5000 0.0000 0.0000 Hf
0.0000 0.0000 0.0000 Au
0.5000 0.5000 0.5000 Ga
0.0000 0.5000 0.0000 Be
```

Computed properties:
- Formation energy: 0.53 eV per atom
- E_tot: -5.460 eV/atom
- Space group: P4/mmm

=====

A plane-wave DFT calculation with GGA-PBE was carried out for a relaxed Zr5Cr4 crystal.

POSCAR file:
```
Zr5Cr4
1.0
-0.0404 -6.6173 3.0802
2.9212 6.4154 -1.8940
-3.7554 2.9585 5.5156
Zr Cr
5 4
Direct
0.0000 0.0000 0.0000 Zr
0.3303 0.3303 0.6606 Zr
0.3303 0.6697 0.0000 Zr
0.6697 0.3303 0.0000 Zr
0.6697 0.6697 0.3394 Zr
0.0000 0.3656 0.3656 Cr
0.0000 0.6344 0.6344 Cr
0.3656 0.0000 0.3656 Cr
0.6344 0.0000 0.6344 Cr
```

Computed properties:
- Energy relative to the lowest polymorph listed for this composition: 77.9 meV/atom
- Formation energy: 0.36 eV per atom
- E_tot: -8.669 eV/atom
- Space group: I4/mmm

=====

A plane-wave DFT calculation with GGA-PBE was carried out for a relaxed BeFe2PtN crystal.

POSCAR file:
```
BeFe2PtN
1.0
-0.4587 -3.4902 1.5387
3.7703 -0.6498 -0.3499
0.5473 1.3900 3.3160
Be Fe Pt N
1 2 1 1
Direct
0.0000 0.0000 0.5000 Be
0.0000 0.5000 0.0000 Fe
0.5000 0.0000 0.0000 Fe
0.5000 0.5000 0.5000 Pt
0.0000 0.0000 0.0000 N
```

Computed properties:
- E_form (uncorrected): -0.2014 eV per atom
- E_tot: -7.205 eV/atom
- Space group: P4/mmm

=====

A plane-wave DFT calculation with GGA-PBE was carried out for a relaxed MgHgSeBr2 crystal.

POSCAR file:
```
MgHgSeBr2
1.0
5.0903 0.0000 0.0000
0.0000 5.0903 0.0000
0.0000 0.0000 5.5663
Mg Se Hg Br
1 1 1 2
Direct
0.0000 0.0000 0.0000 Mg
0.0000 0.0000 0.5000 Se
0.5000 0.5000 0.5000 Hg
0.0000 0.5000 0.0000 Br
0.5000 0.0000 0.0000 Br
```

Computed properties:
- E_form (uncorrected): -0.4045 eV per atom
- Energy relative to the lowest polymorph listed for this composition: 0.0 meV/atom
- E_tot: -2.150 eV/atom
- Space group: P4/mmm

=====

A plane-wave DFT calculation with GGA-PBE was carried out for a relaxed KHg3Pt crystal.

POSCAR file:
```
KHg3Pt
1.0
6.7033 -0.0004 0.0044
0.0054 6.6054 0.0330
-3.3603 1.4256 6.5169
K Hg Pt
2 6 2
Direct
0.3851 0.2462 0.6756 K
0.1115 0.8684 0.1257 K
0.1133 0.7209 0.6552 Hg
0.3468 0.3803 0.1570 Hg
0.9061 0.3807 0.1573 Hg
0.8501 0.1832 0.6055 Hg
0.6369 0.7201 0.6555 Hg
0.6388 0.0126 0.1798 Hg
0.7347 0.5937 0.3746 Pt
0.5308 0.6888 0.9666 Pt
```

Computed properties:
- Energy relative to the lowest polymorph listed for this composition: 90.9 meV/atom
- Formation energy: -0.18 eV per atom
- E_tot: -1.787 eV/atom
- Space group: P1

=====

A plane-wave DFT calculation with GGA-PBE was carried out for a relaxed NdSmErTh crystal.

POSCAR file:
```
NdSmErTh
1.0
-2.6750 -4.7780 -1.6433
1.9308 -2.9545 -4.4975
2.4951 -5.0847 0.7778
Nd Sm Th Er
1 1 1 1
Direct
0.0000 0.0000 0.0000 Nd
0.7500 0.7500 0.7500 Sm
0.5000 0.5000 0.5000 Th
0.2500 0.2500 0.2500 Er
```

Computed properties:
- Energy relative to the lowest polymorph listed for this composition: 141.6 meV/atom
- Formation energy: 0.16 eV per atom
- E_tot: -5.209 eV/atom
- Space group: F-43m

=====

A plane-wave DFT calculation with GGA-PBE was carried out for a relaxed Rb2FeB2 crystal.

POSCAR file:
```
Rb2FeB2
1.0
4.4876 0.0000 0.0000
0.0000 4.4876 0.0000
2.2438 2.2438 6.1822
B Fe Rb
2 1 2
Direct
0.4365 0.4365 0.1269 B
0.5635 0.5635 0.8731 B
0.0000 0.0000 0.0000 Fe
0.7500 0.2500 0.5000 Rb
0.2500 0.7500 0.5000 Rb
```

Computed properties:
- Energy relative to the lowest polymorph listed for this composition: 426.8 meV/atom
- Formation energy: 1.63 eV per atom
- E_tot: -3.121 eV/atom
- Space group: I4/mmm

=====

A plane-wave DFT calculation with GGA-PBE was carried out for a relaxed SrLi2PmSb2 crystal.

POSCAR file:
```
SrLi2PmSb2
1.0
4.7176 0.0000 0.0000
-2.3588 4.0856 0.0000
0.0000 0.0000 8.1556
Sr Li Pm Sb
1 2 1 2
Direct
0.0000 0.0000 0.0000 Sr
0.3333 0.6667 0.7268 Li
0.6667 0.3333 0.2732 Li
0.0000 0.0000 0.5000 Pm
0.3333 0.6667 0.2652 Sb
0.6667 0.3333 0.7348 Sb
```

Computed properties:
- E_form (uncorrected): -0.8847 eV per atom
- E_tot: -3.969 eV/atom
- Space group: P-3m1

=====

A plane-wave DFT calculation with GGA-PBE was carried out for a relaxed Li2PmMgAu4 crystal.

POSCAR file:
```
Li2PmMgAu4
1.0
4.5567 0.0000 0.0000
2.2783 3.9462 0.0000
2.2783 1.3154 8.6283
Li Pm Mg Au
2 1 1 4
Direct
0.7622 0.7622 0.7134 Li
0.2378 0.2378 0.2866 Li
0.0000 0.0000 0.0000 Pm
0.5000 0.5000 0.5000 Mg
0.3952 0.3952 0.8143 Au
0.8745 0.8745 0.3765 Au
0.1255 0.1255 0.6235 Au
0.6048 0.6048 0.1857 Au
```

Computed properties:
- Formation energy: -0.63 eV per atom
- E_tot: -3.539 eV/atom
- Space group: R-3m

=====

A plane-wave DFT calculation with GGA-PBE was carried out for a relaxed Li2IrAu crystal.

POSCAR file:
```
Li2IrAu
1.0
2.6180 0.0000 0.0000
0.0000 4.3209 0.0000
0.0000 0.0000 5.2871
Au Ir Li
1 1 2
Direct
0.0000 0.0000 0.4933 Au
0.5000 0.5000 0.7627 Ir
0.0000 0.0000 0.9849 Li
0.5000 0.5000 0.2592 Li
```

Computed properties:
- Formation energy: -0.13 eV per atom
- E_tot: -4.119 eV/atom
- Space group: Pmm2

=====

A plane-wave DFT calculation with GGA-PBE was carried out for a relaxed LaZr2Al crystal.

POSCAR file:
```
LaZr2Al
1.0
-4.1512 3.6411 -1.0231
-1.6390 -0.3548 -5.3596
0.7391 -3.8762 4.0017
Al Zr La
1 2 1
Direct
0.4999 0.5003 0.0000 Al
0.9997 0.0002 0.0000 Zr
0.7500 0.2498 0.5000 Zr
0.2503 0.7497 0.5000 La
```

Computed properties:
- Formation energy: -0.08 eV per atom
- E_tot: -6.526 eV/atom
- Space group: I-4m2

=====

A plane-wave DFT calculation with GGA-PBE was carried out for a relaxed Er2ThPb crystal.

POSCAR file:
```
Er2ThPb
1.0
3.6303 0.0000 0.0000
0.0000 3.6303 0.0000
0.0000 0.0000 8.9797
Pb Th Er
1 1 2
Direct
0.5000 0.5000 0.0000 Pb
0.5000 0.5000 0.5000 Th
0.0000 0.0000 0.7628 Er
0.0000 0.0000 0.2372 Er
```

Computed properties:
- Energy relative to the lowest polymorph listed for this composition: 1.7 meV/atom
- Formation energy: -0.22 eV per atom
- E_tot: -5.279 eV/atom
- Space group: P4/mmm

=====

A plane-wave DFT calculation with GGA-PBE was carried out for a relaxed PmPr2Pt crystal.

POSCAR file:
```
PmPr2Pt
1.0
-0.9203 -6.0055 -2.7659
6.9489 -0.0677 -2.1651
2.6807 -4.4373 8.7425
Pm Pr Pt
4 8 4
Direct
0.6442 0.5284 0.2500 Pm
0.8558 0.0284 0.2500 Pm
0.3558 0.4716 0.7500 Pm
0.1442 0.9716 0.7500 Pm
0.1729 0.6790 0.0622 Pr
0.3271 0.1790 0.4378 Pr
0.8271 0.3210 0.5622 Pr
0.6729 0.8210 0.9378 Pr
0.8271 0.3210 0.9378 Pr
0.6729 0.8210 0.5622 Pr
0.1729 0.6790 0.4378 Pr
0.3271 0.1790 0.0622 Pr
0.0600 0.3820 0.2500 Pt
0.4400 0.8820 0.2500 Pt
0.9400 0.6180 0.7500 Pt
0.5600 0.1180 0.7500 Pt
```

Computed properties:
- Energy relative to the lowest polymorph listed for this composition: 0.0 meV/atom
- Formation energy: -0.61 eV per atom
- E_tot: -5.701 eV/atom
- Space group: Pnma